Record 1
TbPd4Pb2, relaxed, DFT PBE-GGA; V = 20.48 Å³ per atom; E_form = -478 meV/atom; uncorrected energy = -72.33 eV per cell
1.0
7.394 0.238 -0.038
-0.287 5.981 0.015
-3.532 -3.115 6.484
Tb Pd Pb
2 8 4
Direct
0.146 0.918 0.040
0.356 0.628 0.461
0.513 0.825 0.957
0.354 0.123 0.487
0.170 0.968 0.696
0.805 0.615 0.542
0.725 0.021 0.803
0.965 0.248 0.248
0.966 0.750 0.251
0.118 0.387 0.014
0.549 0.348 0.099
0.159 0.429 0.686
0.701 0.998 0.402
0.723 0.493 0.814


Record 2
Tb2Pd4Pb3, relaxed, DFT PBE-GGA; V = 22.35 Å³ per atom; E_form = -511 meV/atom; uncorrected energy = -91.52 eV per cell
1.0
-3.834 3.657 3.243
1.558 -3.842 6.175
8.519 3.585 0.081
Tb Pd Pb
4 8 6
Direct
0.101 0.592 0.201
0.899 0.408 0.799
0.399 0.092 0.799
0.601 0.908 0.201
0.677 0.750 0.854
0.158 0.972 0.316
0.823 0.250 0.146
0.342 0.472 0.684
0.177 0.750 0.854
0.323 0.250 0.146
0.658 0.528 0.316
0.842 0.028 0.684
0.488 0.250 0.476
0.000 0.000 0.000
0.500 0.500 0.000
0.012 0.750 0.524
0.512 0.750 0.524
0.988 0.250 0.476


Record 3
TbPd2Pb2, relaxed, DFT PBE-GGA; V = 23.81 Å³ per atom; E_form = -543 meV/atom; uncorrected energy = -50.30 eV per cell
1.0
4.922 0.000 0.000
0.000 4.811 -0.063
0.000 0.127 10.052
Pd Tb Pb
4 2 4
Direct
0.250 0.254 0.492
0.250 0.250 0.829
0.750 0.746 0.508
0.750 0.750 0.171
0.750 0.248 0.675
0.250 0.752 0.325
0.750 0.249 0.335
0.250 0.751 0.665
0.750 0.250 0.008
0.250 0.750 0.992


Record 4
TbPdPb, relaxed, DFT PBE-GGA; V = 23.86 Å³ per atom; E_form = -508 meV/atom; uncorrected energy = -15.05 eV per cell
1.0
3.549 0.000 0.000
0.000 3.549 0.000
-1.775 -1.775 5.683
Pd Tb Pb
1 1 1
Direct
0.954 0.954 0.907
0.596 0.596 0.192
0.300 0.300 0.600


Record 5
TbPd6Pb, relaxed, DFT PBE-GGA; energy above the lowest structure with this stoichiometry = 0 meV per atom; V = 17.51 Å³ per atom; E_form = -581 meV/atom; uncorrected energy = -44.14 eV per cell
1.0
4.133 0.000 0.000
0.000 4.133 0.000
0.000 0.000 8.201
Pd Pb Tb
6 1 1
Direct
0.500 0.000 0.252
0.000 0.500 0.252
0.500 0.500 0.000
0.500 0.000 0.748
0.500 0.500 0.500
0.000 0.500 0.748
0.000 0.000 0.500
0.000 0.000 0.000


Record 6
TbPd9Pb2, relaxed, DFT PBE-GGA; V = 17.45 Å³ per atom; E_form = -483 meV/atom; uncorrected energy = -64.58 eV per cell
1.0
-0.532 -4.078 0.299
1.531 0.081 3.828
-11.326 1.806 4.492
Pb Pd Tb
2 9 1
Direct
0.000 0.000 0.333
0.000 0.000 0.667
0.500 0.000 0.832
0.000 0.500 0.168
0.500 0.500 0.665
0.500 0.000 0.168
0.500 0.500 0.000
0.000 0.500 0.832
0.000 0.500 0.500
0.500 0.000 0.500
0.500 0.500 0.335
0.000 0.000 0.000